1.
PrNdSm2Ho: optimized geometry, PBE. Values from VASP.

Geometry as Quantum ESPRESSO input:
```
&SYSTEM
  ibrav = 0, nat = 10, ntyp = 4
/
ATOMIC_SPECIES
Pr 140.91 Pr.upf
Nd 144.24 Nd.upf
Sm 150.36 Sm.upf
Ho 164.93 Ho.upf
CELL_PARAMETERS angstrom
6.748 0.000 0.000
0.000 8.218 1.469
0.000 -1.123 6.150
ATOMIC_POSITIONS crystal
Pr 0.000 0.000 0.000
Pr 0.000 0.000 0.500
Nd 0.162 0.500 0.750
Nd 0.838 0.500 0.250
Sm 0.689 0.696 0.751
Sm 0.689 0.304 0.749
Sm 0.311 0.696 0.251
Sm 0.311 0.304 0.249
Ho 0.577 0.000 0.250
Ho 0.423 0.000 0.750
```

Output
Calculated total energy   -4.45 eV per atom
Volume   352.2 Å³/cell

2.
HgTe2Pt: optimized geometry, PBE. Values from VASP.

Geometry as Quantum ESPRESSO input:
```
&SYSTEM
  ibrav = 0, nat = 4, ntyp = 3
/
ATOMIC_SPECIES
Hg 200.59 Hg.upf
Pt 195.08 Pt.upf
Te 127.60 Te.upf
CELL_PARAMETERS angstrom
-6.123 4.614 6.284
-6.347 -0.123 7.614
8.074 -2.207 -5.311
ATOMIC_POSITIONS crystal
Hg 0.441 0.441 0.000
Pt 0.197 0.697 0.500
Te 0.094 0.094 0.000
Te 0.768 0.268 0.500
```

Output
Volume   115.5 Å³/cell
Formation energy without anion corrections   -5 kJ/mol of formula units

3.
CaMoW2: optimized geometry, PBE. Values from VASP.

Geometry as Quantum ESPRESSO input:
```
&SYSTEM
  ibrav = 0, nat = 4, ntyp = 3
/
ATOMIC_SPECIES
Mo 95.94 Mo.upf
Ca 40.08 Ca.upf
W 183.84 W.upf
CELL_PARAMETERS angstrom
-1.222 -1.264 -5.265
2.621 -4.389 -2.163
-3.466 1.902 3.896
ATOMIC_POSITIONS crystal
Mo 0.770 0.270 0.500
Ca 0.502 0.502 0.000
W 0.999 0.999 0.000
W 0.228 0.728 0.500
```

Output
Volume   73.1 Å³/cell
Excess energy over the best structure of this formula in the dataset   237 meV/atom

4.
K5Ce2I12: optimized geometry, PBE. Values from VASP.

Geometry as Quantum ESPRESSO input:
```
&SYSTEM
  ibrav = 0, nat = 19, ntyp = 3
/
ATOMIC_SPECIES
K 39.10 K.upf
Ce 140.12 Ce.upf
I 126.90 I.upf
CELL_PARAMETERS angstrom
9.232 0.000 0.000
-4.616 9.086 -4.072
0.000 0.509 11.387
ATOMIC_POSITIONS crystal
K 0.279 0.559 0.593
K 0.322 0.643 0.198
K 0.000 0.000 0.500
K 0.678 0.357 0.802
K 0.721 0.441 0.407
Ce 0.748 0.000 0.000
Ce 0.252 0.000 0.000
I 0.022 0.043 0.195
I 0.098 0.679 0.936
I 0.580 0.679 0.936
I 0.110 0.715 0.440
I 0.606 0.715 0.440
I 0.484 0.967 0.800
I 0.516 0.033 0.200
I 0.890 0.285 0.560
I 0.394 0.285 0.560
I 0.902 0.321 0.064
I 0.420 0.321 0.064
I 0.978 0.957 0.805
```

Output
Volume   974.4 Å³/cell
Formation energy without anion corrections   -2424 kJ/mol of formula units

5.
BiIrAu3: optimized geometry, PBE. Values from VASP.

Geometry as Quantum ESPRESSO input:
```
&SYSTEM
  ibrav = 0, nat = 5, ntyp = 3
/
ATOMIC_SPECIES
Ir 192.22 Ir.upf
Au 196.97 Au.upf
Bi 208.98 Bi.upf
CELL_PARAMETERS angstrom
5.259 0.000 0.000
0.000 5.259 0.000
0.000 0.000 5.259
ATOMIC_POSITIONS crystal
Ir 0.500 0.500 0.500
Au 0.000 0.500 0.000
Au 0.000 0.000 0.500
Au 0.500 0.000 0.000
Bi 0.000 0.000 0.000
```

Output
Volume   145.4 Å³/cell
Excess energy over the best structure of this formula in the dataset   767 meV/atom

6.
Ca8As2Au3: optimized geometry, PBE. Values from VASP.

Geometry as Quantum ESPRESSO input:
```
&SYSTEM
  ibrav = 0, nat = 13, ntyp = 3
/
ATOMIC_SPECIES
Ca 40.08 Ca.upf
As 74.92 As.upf
Au 196.97 Au.upf
CELL_PARAMETERS angstrom
5.009 0.000 0.000
0.000 8.266 3.292
0.000 -0.126 8.896
ATOMIC_POSITIONS crystal
Ca 0.000 0.375 0.375
Ca 0.000 0.625 0.625
Ca 0.000 0.874 0.874
Ca 0.000 0.126 0.126
Ca 0.500 0.375 0.877
Ca 0.500 0.877 0.375
Ca 0.500 0.123 0.625
Ca 0.500 0.625 0.123
As 0.500 0.745 0.745
As 0.500 0.255 0.255
Au 0.500 0.000 0.000
Au 0.000 0.749 0.251
Au 0.000 0.251 0.749
```

Output
Calculated total energy   -3.50 eV per atom
Volume   370.4 Å³/cell

7.
Ca2YCd4: optimized geometry, PBE. Values from VASP.

Geometry as Quantum ESPRESSO input:
```
&SYSTEM
  ibrav = 0, nat = 7, ntyp = 3
/
ATOMIC_SPECIES
Y 88.91 Y.upf
Ca 40.08 Ca.upf
Cd 112.41 Cd.upf
CELL_PARAMETERS angstrom
-5.114 1.778 0.881
-0.953 -4.336 3.222
5.203 4.832 3.371
ATOMIC_POSITIONS crystal
Y 0.000 0.000 0.000
Ca 0.737 0.737 0.475
Ca 0.263 0.263 0.525
Cd 0.387 0.887 0.773
Cd 0.887 0.387 0.773
Cd 0.613 0.113 0.227
Cd 0.113 0.613 0.227
```

Output
Calculated total energy   -2.20 eV per atom
Volume   205.8 Å³/cell

8.
LaCu2AsN: optimized geometry, PBE. Values from VASP.

Geometry as Quantum ESPRESSO input:
```
&SYSTEM
  ibrav = 0, nat = 5, ntyp = 4
/
ATOMIC_SPECIES
As 74.92 As.upf
N 14.01 N.upf
Cu 63.55 Cu.upf
La 138.91 La.upf
CELL_PARAMETERS angstrom
5.370 0.000 0.000
0.000 4.023 0.000
0.000 0.000 5.370
ATOMIC_POSITIONS crystal
As 0.500 0.500 0.500
N 0.000 0.500 0.000
Cu 0.000 0.000 0.500
Cu 0.500 0.000 0.000
La 0.000 0.000 0.000
```

Output
Volume   116.0 Å³/cell
Excess energy over the best structure of this formula in the dataset   1685 meV/atom
Formation energy without anion corrections   521 kJ/mol of formula units

9.
LiMg2B2Pt5: optimized geometry, PBE. Values from VASP.

Geometry as Quantum ESPRESSO input:
```
&SYSTEM
  ibrav = 0, nat = 20, ntyp = 4
/
ATOMIC_SPECIES
Li 6.94 Li.upf
Mg 24.30 Mg.upf
B 10.81 B.upf
Pt 195.08 Pt.upf
CELL_PARAMETERS angstrom
-1.160 2.565 -1.402
-8.369 -3.961 -0.324
-2.031 3.612 8.287
ATOMIC_POSITIONS crystal
Li 0.000 0.000 0.000
Li 0.000 0.500 0.500
Mg 0.000 0.675 0.175
Mg 0.000 0.325 0.825
Mg 0.000 0.175 0.325
Mg 0.000 0.825 0.675
B 0.000 0.129 0.629
B 0.000 0.871 0.371
B 0.000 0.629 0.871
B 0.000 0.371 0.129
Pt 0.500 0.212 0.073
Pt 0.500 0.788 0.927
Pt 0.500 0.073 0.788
Pt 0.500 0.712 0.427
Pt 0.500 0.927 0.212
Pt 0.500 0.288 0.573
Pt 0.500 0.573 0.712
Pt 0.500 0.427 0.288
Pt 0.500 0.500 0.000
Pt 0.500 0.000 0.500
```

Output
Calculated total energy   -5.45 eV per atom
Volume   270.0 Å³/cell

10.
As3PdS: optimized geometry, PBE. Values from VASP.

Geometry as Quantum ESPRESSO input:
```
&SYSTEM
  ibrav = 0, nat = 5, ntyp = 3
/
ATOMIC_SPECIES
As 74.92 As.upf
S 32.06 S.upf
Pd 106.42 Pd.upf
CELL_PARAMETERS angstrom
4.863 0.000 0.000
0.000 4.863 0.000
0.000 0.000 4.863
ATOMIC_POSITIONS crystal
As 0.000 0.500 0.000
As 0.000 0.000 0.500
As 0.500 0.000 0.000
S 0.500 0.500 0.500
Pd 0.000 0.000 0.000
```

Output
Volume   115.0 Å³/cell
Excess energy over the best structure of this formula in the dataset   18 meV/atom
Formation energy without anion corrections   385 kJ/mol of formula units

11.
HfPaTe: optimized geometry, PBE. Values from VASP.

Geometry as Quantum ESPRESSO input:
```
&SYSTEM
  ibrav = 0, nat = 12, ntyp = 3
/
ATOMIC_SPECIES
Te 127.60 Te.upf
Pa 231.04 Pa.upf
Hf 178.49 Hf.upf
CELL_PARAMETERS angstrom
7.681 0.018 0.034
-2.841 6.421 0.806
2.000 3.436 6.572
ATOMIC_POSITIONS crystal
Te 0.929 0.203 0.467
Te 0.976 0.297 0.920
Te 0.783 0.703 0.321
Te 0.330 0.797 0.274
Pa 0.954 0.731 0.650
Pa 0.600 0.231 0.296
Pa 0.620 0.269 0.777
Pa 0.473 0.769 0.630
Hf 0.256 0.258 0.610
Hf 0.640 0.758 0.994
Hf 0.249 0.242 0.117
Hf 0.133 0.742 0.001
```

Output
Volume   302.5 Å³/cell
Excess energy over the best structure of this formula in the dataset   70 meV/atom
Formation energy without anion corrections   -56 kJ/mol of formula units

12.
ZrBeHg2: optimized geometry, PBE. Values from VASP.

Geometry as Quantum ESPRESSO input:
```
&SYSTEM
  ibrav = 0, nat = 4, ntyp = 3
/
ATOMIC_SPECIES
Be 9.01 Be.upf
Hg 200.59 Hg.upf
Zr 91.22 Zr.upf
CELL_PARAMETERS angstrom
-3.977 -0.342 -2.234
-4.205 -1.626 0.772
-3.897 4.473 1.614
ATOMIC_POSITIONS crystal
Be 0.238 0.238 0.114
Hg 0.944 0.944 0.135
Hg 0.757 0.757 0.777
Zr 0.561 0.561 0.474
```

Output
Calculated total energy   -3.05 eV per atom
Volume   79.1 Å³/cell

13.
Sc2As: optimized geometry, PBE. Values from VASP.

Geometry as Quantum ESPRESSO input:
```
&SYSTEM
  ibrav = 0, nat = 3, ntyp = 2
/
ATOMIC_SPECIES
As 74.92 As.upf
Sc 44.96 Sc.upf
CELL_PARAMETERS angstrom
-3.045 -0.800 -3.232
0.442 -3.608 -2.673
-2.857 -3.469 0.402
ATOMIC_POSITIONS crystal
As 0.000 0.000 0.000
Sc 0.250 0.250 0.250
Sc 0.750 0.750 0.750
```

Output
Calculated total energy   -6.56 eV per atom
Volume   64.9 Å³/cell